<A>
KCdC | PBE | relaxed

a = 4.6635 Å, b = 5.6831 Å, c = 7.6976 Å
α = 112.15°, β = 107.62°, γ = 90.02°
With the nearest neighbours (Å) after each atom.
Element x y z (fractional)
Cd: 0.1935 0.9174 0.3870  1 C 2.27
Cd: 0.8065 0.0826 0.6130  1 C 2.27
C: 0.9605 0.4006 0.9211  1 C 1.26
C: 0.0395 0.5994 0.0789  1 C 1.26
K: 0.6057 0.3687 0.2119  4 C 3.02-3.21
K: 0.3943 0.6313 0.7881  4 C 3.02-3.21


<B>
KCdC | PBE | relaxed

a = 7.5350 Å, b = 5.0961 Å, c = 8.7261 Å
α = 90.00°, β = 112.99°, γ = 90.00°
With the nearest neighbours (Å) after each atom.
Element x y z (fractional)
C: 0.0910 0.0000 0.0299  1 C 1.26
C: 0.0910 0.5000 0.5299  1 C 1.26
C: 0.9090 0.0000 0.9701  1 C 1.26
C: 0.9090 0.5000 0.4701  1 C 1.26
Cd: 0.4413 0.5000 0.6470  1 C 2.43
Cd: 0.5587 0.5000 0.3530  1 C 2.43
Cd: 0.4413 0.0000 0.1470  1 C 2.43
Cd: 0.5587 0.0000 0.8530  1 C 2.43
K: 0.8279 0.0000 0.6083  3 C 2.97-2.98
K: 0.1721 0.5000 0.8917  3 C 2.97-2.98
K: 0.1721 0.0000 0.3917  3 C 2.97-2.98
K: 0.8279 0.5000 0.1083  3 C 2.97-2.98


<C>
KCdC | PBE | relaxed

a = 4.4131 Å, b = 3.9382 Å, c = 18.6298 Å
α = 90.00°, β = 90.00°, γ = 90.00°
With the nearest neighbours (Å) after each atom.
Element x y z (fractional)
Cd: 0.5000 0.0000 0.8065  1 C 2.28
Cd: 0.0000 0.5000 0.8633  4 Cd 3.14
Cd: 0.5000 0.5000 0.3065  1 C 2.28
Cd: 0.0000 0.0000 0.3633  4 Cd 3.14
C: 0.5000 0.5000 0.1840  1 C 1.26
C: 0.5000 0.5000 0.1163  1 C 1.26
C: 0.5000 0.0000 0.6163  1 C 1.26
C: 0.5000 0.0000 0.6840  1 C 1.26
K: 0.0000 0.5000 0.6689  8 C 2.97-3.12
K: 0.5000 0.5000 0.4995  2 C 2.93
K: 0.0000 0.0000 0.1689  8 C 2.97-3.12
K: 0.5000 0.0000 0.9995  2 C 2.93


<D>
KCdC | PBE | relaxed

a = 9.4360 Å, b = 4.9362 Å, c = 9.0071 Å
α = 90.00°, β = 108.56°, γ = 90.00°
With the nearest neighbours (Å) after each atom.
Element x y z (fractional)
Cd: 0.6705 0.0000 0.4474  3 Cd 2.95-2.97
Cd: 0.7209 0.5000 0.2884  1 C 2.24
Cd: 0.6705 0.5000 0.9474  3 Cd 2.95-2.97
Cd: 0.7209 0.0000 0.7884  1 C 2.24
K: 0.0276 0.0000 0.2220  6 C 2.96-3.03
K: 0.0276 0.5000 0.7220  6 C 2.96-3.03
K: 0.4263 0.0000 0.0366  1 C 2.81
K: 0.4263 0.5000 0.5366  1 C 2.81
C: 0.9717 0.5000 0.3771  1 C 1.26
C: 0.1127 0.5000 0.4249  1 C 1.26
C: 0.1127 0.0000 0.9249  1 C 1.26
C: 0.9717 0.0000 0.8771  1 C 1.26


What should be chosen as the most stable of them? Choose <B>.


<A>
KCdC | PBE | relaxed

a = 3.9033 Å, b = 3.9033 Å, c = 5.2151 Å
α = 90.00°, β = 90.00°, γ = 120.00°
With the nearest neighbours (Å) after each atom.
Element x y z (fractional)
Cd: 0.3333 0.6667 0.5000  3 C 2.25
C: 0.0000 0.0000 0.5000  3 Cd 2.25
K: 0.6667 0.3333 0.0000  6 C 3.45, 6 Cd 3.45


<B>
KCdC | PBE | relaxed

a = 4.9879 Å, b = 5.0191 Å, c = 8.0212 Å
α = 72.75°, β = 72.58°, γ = 61.88°
With the nearest neighbours (Å) after each atom.
Element x y z (fractional)
Cd: 0.3539 0.3510 0.4233  1 C 2.55
Cd: 0.6461 0.6490 0.5767  1 C 2.55
K: 0.2128 0.2132 0.8595  4 C 2.94-3.27, 1 Cd 3.28
K: 0.7872 0.7868 0.1405  4 C 2.94-3.27, 1 Cd 3.28
C: 0.5314 0.5359 0.9162  1 C 1.27
C: 0.4686 0.4641 0.0838  1 C 1.27


What should be chosen as the most stable of them? Choose <B>.


<A>
KCdC | PBE | relaxed

a = 7.0613 Å, b = 4.9223 Å, c = 11.1268 Å
α = 90.00°, β = 119.44°, γ = 90.00°
With the nearest neighbours (Å) after each atom.
Element x y z (fractional)
C: 0.4756 0.8711 0.8536  1 C 1.27
C: 0.4756 0.3711 0.3536  1 C 1.27
C: 0.4756 0.6289 0.3536  1 C 1.27
C: 0.4756 0.1289 0.8536  1 C 1.27
Cd: 0.8892 0.0000 0.8266  2 Cd 3.06, 2 C 3.14
Cd: 0.8892 0.5000 0.3266  2 Cd 3.06, 2 C 3.14
Cd: 0.7222 0.5000 0.9100  2 C 2.39
Cd: 0.7222 0.0000 0.4100  2 C 2.39
K: 0.3721 0.5000 0.0454  4 C 3.16-3.20, 2 Cd 3.45-3.47, 1 K 3.50
K: 0.3721 0.0000 0.5454  4 C 3.16-3.20, 2 Cd 3.45-3.47, 1 K 3.50
K: 0.0765 0.0000 0.1847  2 C 3.10
K: 0.0765 0.5000 0.6847  2 C 3.10


<B>
KCdC | PBE | relaxed

a = 6.0395 Å, b = 5.6793 Å, c = 12.7582 Å
α = 90.00°, β = 115.57°, γ = 90.00°
With the nearest neighbours (Å) after each atom.
Element x y z (fractional)
C: 0.1183 0.5000 0.7292  1 C 1.26
C: 0.2399 0.0000 0.3380  1 C 1.26
C: 0.2399 0.5000 0.8380  1 C 1.26
C: 0.1183 0.0000 0.2292  1 C 1.26
K: 0.6784 0.0000 0.2832  4 C 3.02-3.15
K: 0.1786 0.0000 0.7845  4 C 2.91
K: 0.1786 0.5000 0.2845  4 C 2.91
K: 0.6784 0.5000 0.7832  4 C 3.02-3.15
Cd: 0.8064 0.0000 0.0385  1 C 2.35
Cd: 0.5526 0.0000 0.5286  1 C 2.35
Cd: 0.8064 0.5000 0.5385  1 C 2.35
Cd: 0.5526 0.5000 0.0286  1 C 2.35


<C>
KCdC | PBE | relaxed

a = 3.9075 Å, b = 3.9075 Å, c = 16.2291 Å
α = 90.00°, β = 90.00°, γ = 120.00°
With the nearest neighbours (Å) after each atom.
Element x y z (fractional)
K: 0.6667 0.3333 0.9668  4 C 3.10-3.23, 3 Cd 3.39
K: 0.0000 0.0000 0.6335  4 C 3.10-3.23, 3 Cd 3.39
K: 0.3333 0.6667 0.3001  4 C 3.10-3.23, 3 Cd 3.39
C: 0.6667 0.3333 0.7756  3 Cd 2.27
C: 0.0000 0.0000 0.4423  3 Cd 2.27
C: 0.3333 0.6667 0.1090  3 Cd 2.27
Cd: 0.3333 0.6667 0.7896  3 C 2.27
Cd: 0.0000 0.0000 0.1229  3 C 2.27
Cd: 0.6667 0.3333 0.4562  3 C 2.27


What should be chosen as the most stable of them? Choose <B>.


<A>
K2CdC | PBE | relaxed

a = 5.6193 Å, b = 5.6193 Å, c = 5.6193 Å
α = 60.00°, β = 60.00°, γ = 60.00°
With the nearest neighbours (Å) after each atom.
Element x y z (fractional)
K: 0.2500 0.2500 0.2500  4 Cd 3.44, 4 C 3.44
K: 0.7500 0.7500 0.7500  4 Cd 3.44, 4 C 3.44
C: 0.0000 0.0000 0.0000  8 K 3.44
Cd: 0.5000 0.5000 0.5000  8 K 3.44


<B>
K2CdC | PBE | relaxed

a = 12.0451 Å, b = 12.0451 Å, c = 8.7690 Å
α = 46.62°, β = 46.62°, γ = 90.00°
With the nearest neighbours (Å) after each atom.
Element x y z (fractional)
C: 0.5000 0.5000 0.0000  2 Cd 2.09
C: 0.2500 0.7500 0.5000  2 Cd 2.09
K: 0.3346 0.6250 0.2500  2 C 3.09, 2 Cd 3.43
K: 0.8750 0.6654 0.7500  2 C 3.09, 2 Cd 3.43
K: 0.4154 0.1250 0.2500  2 C 3.09, 2 Cd 3.43
K: 0.3750 0.5846 0.7500  2 C 3.09, 2 Cd 3.43
Cd: 0.7500 0.2500 0.5000  2 C 2.09
Cd: 0.0000 0.0000 0.0000  2 C 2.09


What should be chosen as the most stable of them? Choose <B>.


<A>
KCd2SiC | PBE | relaxed

a = 6.3142 Å, b = 5.1250 Å, c = 6.3142 Å
α = 90.00°, β = 90.00°, γ = 90.00°
With the nearest neighbours (Å) after each atom.
Element x y z (fractional)
Cd: 0.0000 0.0000 0.5000  2 K 3.16
Cd: 0.5000 0.0000 0.0000  2 K 3.16
Si: 0.5000 0.5000 0.5000  8 Cd 4.07, 4 C 4.46
K: 0.0000 0.0000 0.0000  2 C 2.56
C: 0.0000 0.5000 0.0000  2 K 2.56


<B>
KCd2SiC | PBE | relaxed

a = 4.9800 Å, b = 6.7626 Å, c = 4.9800 Å
α = 90.00°, β = 90.00°, γ = 90.00°
With the nearest neighbours (Å) after each atom.
Element x y z (fractional)
K: 0.0000 0.5000 0.0000  2 Si 3.38, 4 C 3.52
Si: 0.0000 0.0000 0.0000  4 Cd 2.49
Cd: 0.0000 0.0000 0.5000  2 Si 2.49
Cd: 0.5000 0.0000 0.0000  2 Si 2.49
C: 0.5000 0.5000 0.5000  4 K 3.52


What should be chosen as the most stable of them? Choose <B>.


<A>
La2VCdC | PBE | relaxed

a = 5.4206 Å, b = 5.4206 Å, c = 4.0438 Å
α = 90.00°, β = 90.00°, γ = 90.00°
With the nearest neighbours (Å) after each atom.
Element x y z (fractional)
Cd: 0.5000 0.5000 0.5000  8 La 3.38
V: 0.0000 0.0000 0.5000  2 C 2.02
La: 0.5000 0.0000 0.0000  2 C 2.71
La: 0.0000 0.5000 0.0000  2 C 2.71
C: 0.0000 0.0000 0.0000  2 V 2.02


<B>
La2VCdC | PBE | relaxed

a = 5.5080 Å, b = 3.9746 Å, c = 5.5080 Å
α = 90.00°, β = 90.00°, γ = 90.00°
With the nearest neighbours (Å) after each atom.
Element x y z (fractional)
Cd: 0.5000 0.5000 0.5000  8 La 3.40
La: 0.0000 0.0000 0.5000  2 V 2.75
La: 0.5000 0.0000 0.0000  2 V 2.75
V: 0.0000 0.0000 0.0000  2 C 1.99
C: 0.0000 0.5000 0.0000  2 V 1.99


What should be chosen as the most stable of them? Choose <A>.


<A>
LiCdC3 | PBE | relaxed

a = 4.3548 Å, b = 4.3548 Å, c = 4.3548 Å
α = 90.00°, β = 90.00°, γ = 90.00°
With the nearest neighbours (Å) after each atom.
Element x y z (fractional)
C: 0.5000 0.0000 0.0000  2 Cd 2.18
C: 0.0000 0.0000 0.5000  2 Cd 2.18
C: 0.0000 0.5000 0.0000  2 Cd 2.18
Li: 0.5000 0.5000 0.5000  12 C 3.08
Cd: 0.0000 0.0000 0.0000  6 C 2.18


<B>
LiCdC3 | PBE | relaxed

a = 3.8238 Å, b = 3.8238 Å, c = 3.8238 Å
α = 90.00°, β = 90.00°, γ = 90.00°
With the nearest neighbours (Å) after each atom.
Element x y z (fractional)
Li: 0.0000 0.0000 0.0000  6 C 1.91
C: 0.0000 0.5000 0.0000  2 Li 1.91
C: 0.5000 0.0000 0.0000  2 Li 1.91
C: 0.0000 0.0000 0.5000  2 Li 1.91
Cd: 0.5000 0.5000 0.5000  12 C 2.70


What should be chosen as the most stable of them? Choose <B>.


<A>
LiCd3C | PBE | relaxed

a = 4.8540 Å, b = 4.8540 Å, c = 4.8540 Å
α = 90.00°, β = 90.00°, γ = 90.00°
With the nearest neighbours (Å) after each atom.
Element x y z (fractional)
Cd: 0.0000 0.0000 0.5000  2 Li 2.43
Cd: 0.5000 0.0000 0.0000  2 Li 2.43
Cd: 0.0000 0.5000 0.0000  2 Li 2.43
Li: 0.0000 0.0000 0.0000  6 Cd 2.43
C: 0.5000 0.5000 0.5000  12 Cd 3.43


<B>
LiCd3C | PBE | relaxed

a = 4.6781 Å, b = 4.6781 Å, c = 4.6781 Å
α = 90.00°, β = 90.00°, γ = 90.00°
With the nearest neighbours (Å) after each atom.
Element x y z (fractional)
C: 0.0000 0.0000 0.0000  6 Cd 2.34
Cd: 0.0000 0.5000 0.0000  2 C 2.34
Cd: 0.0000 0.0000 0.5000  2 C 2.34
Cd: 0.5000 0.0000 0.0000  2 C 2.34
Li: 0.5000 0.5000 0.5000  12 Cd 3.31


What should be chosen as the most stable of them? Choose <B>.